IClF2 after structural relaxation. Source: Alexandria, functional GGA-PBE.

Geometry as POSCAR:
```
IClF2
1.0
4.520 0.000 0.000
0.000 4.520 0.000
0.000 0.000 15.248
I Cl F
4 4 8
Cartesian
0.000 0.000 0.000 I
0.000 2.260 3.812 I
2.260 0.000 11.436 I
2.260 2.260 7.624 I
0.000 0.000 7.624 Cl
0.000 2.260 11.436 Cl
2.260 0.000 3.812 Cl
2.260 2.260 0.000 Cl
0.395 1.130 1.906 F
1.130 2.655 5.718 F
1.130 4.125 13.342 F
1.865 1.130 9.530 F
2.655 3.390 9.530 F
3.390 0.395 13.342 F
3.390 1.865 5.718 F
4.125 3.390 1.906 F
```

Results
calculated volume: 19.5 Å³/atom
formation energy without anion corrections: -0.424 eV per atom
space group: I-42d, No. 122
total energy: -0.1623 Ry per atom